A relaxed structure of CeHoTm3. Source: Alexandria via LeMat-Bulk, functional GGA-PBE.

## Properties
Theoretical density   8.03 g/cm³
Formation energy   0.425 eV/atom

```
data_CeHoTm3
_chemical_formula_sum 'Ce4 Ho4 Tm12'
_space_group_name_H-M_alt 'C 1 2/m 1'
_space_group_IT_number 12
_space_group_name_Hall '-C 2y'
_cell_length_a 5.4009
_cell_length_b 11.3485
_cell_length_c 10.9523
_cell_angle_alpha 90.00
_cell_angle_beta 90.30
_cell_angle_gamma 90.00
loop_
_atom_site_label
_atom_site_type_symbol
_atom_site_fract_x
_atom_site_fract_y
_atom_site_fract_z
Ce1 Ce 0.0000 0.1330 0.0000
Ho1 Ho 0.0000 0.1562 0.5000
Tm1 Tm 0.0021 0.0000 0.2550
Tm2 Tm 0.0016 0.3373 0.2392
```